No. 1
The following is a GGA-PBE calculation of crystalline Mg2GaSbH at its relaxed geometry, from Alexandria.

The structure belongs to space group P4/mmm (No. 123); the cell edges are 5.1524, 5.1524 and 5.1145 Å and the angles 90.00°, 90.00° and 90.00°. The distinct sites, in fractional coordinates, are Mg at (0.0000, 0.5000, 0.0000), Ga at (0.0000, 0.0000, 0.0000), Sb at (0.0000, 0.0000, 0.5000) and H at (0.5000, 0.5000, 0.5000).

As for the total energy: -2.07 eV/atom. The value obtained for the density of states at the Fermi level is 0.643 states/eV/atom. Its crystal system is tetragonal. The calculation puts the theoretical density at 2.95 g/cm³.

No. 2
The following is a GGA-PBE calculation of crystalline LaTl2Ag at its relaxed geometry, from Alexandria.

The structure belongs to space group Pmm2 (No. 25); the cell edges are 3.8628, 3.8755 and 7.4530 Å and the angles 90.00°, 90.00° and 90.00°. The distinct sites, in fractional coordinates, are La at (0.0000, 0.0000, 0.0000), Tl at (0.0000, 0.0000, 0.5391), Tl at (0.5000, 0.5000, 0.2771) and Ag at (0.5000, 0.5000, 0.7534).

As for the total energy: -3.27 eV/atom. The value obtained for the density of states at the Fermi level is 0.869 states/eV/atom. Its formation energy from the elements is -0.1460 eV/atom. Its crystal system is orthorhombic. The calculation puts the theoretical density at 9.76 g/cm³.

No. 3
The following is a GGA-PBE calculation of crystalline Tb5Al4Tl at its relaxed geometry, from Alexandria.

The structure belongs to space group P4/mmm (No. 123); the cell edges are 3.6271, 3.6271 and 18.6187 Å and the angles 90.00°, 90.00° and 90.00°. The distinct sites, in fractional coordinates, are Tb at (0.0000, 0.0000, 0.0000), Tb at (0.0000, 0.0000, 0.1925), Tb at (0.0000, 0.0000, 0.3884), Al at (0.5000, 0.5000, 0.0962), Al at (0.5000, 0.5000, 0.2906) and Tl at (0.5000, 0.5000, 0.5000).

As for the total energy: -4.43 eV/atom. The value obtained for the density of states at the Fermi level is 0.407 states/eV/atom. Its formation energy from the elements is -0.3861 eV/atom. Its crystal system is tetragonal. The calculation puts the theoretical density at 7.50 g/cm³.

No. 4
The following is a GGA-PBE calculation of crystalline BiP2SI at its relaxed geometry, from Alexandria.

The structure belongs to space group P4/mmm (No. 123); the cell edges are 5.5266, 5.5266 and 5.1142 Å and the angles 90.00°, 90.00° and 90.00°. The distinct sites, in fractional coordinates, are Bi at (0.0000, 0.0000, 0.0000), P at (0.0000, 0.5000, 0.0000), S at (0.0000, 0.0000, 0.5000) and I at (0.5000, 0.5000, 0.5000).

As for the total energy: -2.96 eV/atom. The value obtained for the density of states at the Fermi level is 1.100 states/eV/atom. The energy above the most stable polymorph in this dataset comes out at 0 kJ/mol of formula units. The formation energy from raw total energies comes out at 1.115 eV/atom. Its crystal system is tetragonal. The calculation puts the theoretical density at 4.57 g/cm³.

No. 5
The following is a GGA-PBE calculation of crystalline RbTaTeSe6 at its relaxed geometry, from Alexandria.

The structure belongs to space group C2 (No. 5); the cell edges are 6.8457, 11.8732 and 7.8550 Å and the angles 90.00°, 90.05° and 90.00°. The distinct sites, in fractional coordinates, are Rb at (0.0000, 0.0000, 0.0000), Ta at (0.0000, 0.3335, 0.5000), Te at (0.0000, 0.6666, 0.5000), Se at (0.1084, 0.4916, 0.2993), Se at (0.1830, 0.2003, 0.2992) and Se at (0.2084, 0.8081, 0.2991).

As for the total energy: -4.50 eV/atom. The value obtained for the density of states at the Fermi level is 0.753 states/eV/atom. The formation energy from raw total energies comes out at -0.403 eV/atom. Its crystal system is monoclinic. The calculation puts the theoretical density at 4.51 g/cm³.

No. 6
The following is a GGA-PBE calculation of crystalline Ta6Ga2C at its relaxed geometry, from Alexandria.

The structure belongs to space group P2_1/c (No. 14); the cell edges are 5.4466, 6.5870 and 9.7627 Å and the angles 90.00°, 122.94° and 90.00°. The distinct sites, in fractional coordinates, are Ta at (0.1108, 0.1704, 0.4575), Ta at (0.3011, 0.6977, 0.4525), Ta at (0.3361, 0.0070, 0.2351), Ga at (0.1888, 0.1117, 0.7565) and C at (0.5000, 0.0000, 0.5000).

As for the total energy: -9.80 eV/atom. The value obtained for the density of states at the Fermi level is 0.592 states/eV/atom. Its formation energy from the elements is -0.2022 eV/atom. Its crystal system is monoclinic. The calculation puts the theoretical density at 13.98 g/cm³.

No. 7
The following is a GGA-PBE calculation of crystalline Sr2Li2La at its relaxed geometry, from Alexandria.

The structure belongs to space group P4/mbm (No. 127); the cell edges are 9.0483, 9.0483 and 4.6146 Å and the angles 90.00°, 90.00° and 90.00°. The distinct sites, in fractional coordinates, are Sr at (0.1768, 0.3232, 0.0000), Li at (0.1192, 0.6192, 0.5000) and La at (0.0000, 0.0000, 0.5000).

As for the total energy: -2.29 eV/atom. The value obtained for the density of states at the Fermi level is 1.944 states/eV/atom. Its formation energy from the elements is 0.1353 eV/atom. The energy above the most stable polymorph in this dataset comes out at 0 kJ/mol of formula units. Its crystal system is tetragonal. The calculation puts the theoretical density at 2.88 g/cm³.

No. 8
The following is a GGA-PBE calculation of crystalline Sc3AlC3 at its relaxed geometry, from Alexandria.

The structure belongs to space group Pnma (No. 62); the cell edges are 9.9345, 3.3054 and 10.9948 Å and the angles 90.00°, 90.00° and 90.00°. The distinct sites, in fractional coordinates, are Sc at (0.0842, 0.2500, 0.0899), Sc at (0.1351, 0.7500, 0.5196), Sc at (0.2193, 0.7500, 0.8027), Al at (0.0177, 0.2500, 0.7034), C at (0.0637, 0.2500, 0.3730), C at (0.0764, 0.2500, 0.8824) and C at (0.2308, 0.2500, 0.6396).

As for the total energy: -7.65 eV/atom. The value obtained for the density of states at the Fermi level is 0.067 states/eV/atom. Its formation energy from the elements is -0.4487 eV/atom. Its crystal system is orthorhombic. The calculation puts the theoretical density at 3.64 g/cm³.